## CaGeSe2N (PBE-GGA)

Data for CaGeSe2N after structural relaxation.

a b c (Å): 5.3037 5.3037 3.6345
angles (deg): 90.00 90.00 90.00
With the nearest neighbours (Å) after each atom.
Positions (direct):
Ca1 0.0000 0.0000 0.0000  8 Se 3.21
Ge1 0.5000 0.5000 0.5000  2 N 1.82
Se1 0.0000 0.5000 0.5000  2 Ge 2.65
Se2 0.5000 0.0000 0.5000  2 Ge 2.65
N1 0.5000 0.5000 0.0000  2 Ge 1.82

Uncorrected formation energy, eV/atom: -0.174